The following is a DFT calculation (PBE) of a relaxed Pu2NbGeN5 crystal.

a b c (Å): 3.187 13.711 10.298
angles (deg): 90.00 90.00 90.00
Space group Cmc2_1 (No. 36)
Unique sites:
1 Pu 0.000 0.124 0.000 x4
2 Pu 0.000 0.135 0.563 x4
3 Nb 0.000 0.223 0.287 x4
4 Ge 0.000 0.494 0.760 x4
5 N 0.000 0.056 0.332 x4
6 N 0.000 0.287 0.931 x4
7 N 0.000 0.300 0.647 x4
8 N 0.000 0.368 0.290 x4
9 N 0.000 0.499 0.076 x4

---

The following is a DFT calculation (PBE) of a relaxed NbGeSN2 crystal.

a b c (Å): 4.017 4.017 5.161
angles (deg): 90.00 90.00 90.00
Space group P4/mmm (No. 123)
Unique sites:
1 Nb 0.000 0.000 0.000 x1
2 Ge 0.500 0.500 0.500 x1
3 S 0.000 0.000 0.500 x1
4 N 0.000 0.500 0.000 x2

---

The following is a DFT calculation (PBE) of a relaxed NbGeSN2 crystal.

a b c (Å): 3.768 3.768 4.693
angles (deg): 90.00 90.00 90.00
Space group P4/mmm (No. 123)
Unique sites:
1 Nb 0.000 0.000 0.000 x1
2 Ge 0.500 0.500 0.500 x1
3 S 0.500 0.500 0.000 x1
4 N 0.000 0.500 0.500 x2

---

The following is a DFT calculation (PBE) of a relaxed NbGeSe2N crystal.

a b c (Å): 5.213 5.213 3.892
angles (deg): 90.00 90.00 90.00
Space group P4/mmm (No. 123)
Unique sites:
1 Nb 0.000 0.000 0.000 x1
2 Ge 0.500 0.500 0.500 x1
3 Se 0.000 0.500 0.000 x2
4 N 0.000 0.000 0.500 x1

---

The following is a DFT calculation (PBE) of a relaxed NbGeSe2N crystal.

a b c (Å): 5.107 5.107 3.542
angles (deg): 90.00 90.00 90.00
Space group P4/mmm (No. 123)
Unique sites:
1 Nb 0.000 0.000 0.000 x1
2 Ge 0.500 0.500 0.500 x1
3 Se 0.000 0.500 0.500 x2
4 N 0.500 0.500 0.000 x1

---

The following is a DFT calculation (PBE) of a relaxed Tb2NbGeN5 crystal.

a b c (Å): 3.194 13.774 10.159
angles (deg): 90.00 90.00 90.00
Space group Cmc2_1 (No. 36)
Unique sites:
1 Tb 0.000 0.117 0.000 x4
2 Tb 0.000 0.130 0.570 x4
3 Nb 0.000 0.226 0.293 x4
4 Ge 0.000 0.491 0.763 x4
5 N 0.000 0.056 0.339 x4
6 N 0.000 0.286 0.932 x4
7 N 0.000 0.298 0.656 x4
8 N 0.000 0.370 0.296 x4
9 N 0.000 0.499 0.580 x4

---

The following is a DFT calculation (PBE) of a relaxed NbGeTe2N crystal.

a b c (Å): 5.593 5.593 3.907
angles (deg): 90.00 90.00 90.00
Space group P4/mmm (No. 123)
Unique sites:
1 Nb 0.000 0.000 0.000 x1
2 Ge 0.500 0.500 0.500 x1
3 Te 0.000 0.500 0.000 x2
4 N 0.000 0.000 0.500 x1

---

The following is a DFT calculation (PBE) of a relaxed NbGeTe2N crystal.

a b c (Å): 5.554 5.554 3.530
angles (deg): 90.00 90.00 90.00
Space group P4/mmm (No. 123)
Unique sites:
1 Nb 0.000 0.000 0.000 x1
2 Ge 0.500 0.500 0.500 x1
3 Te 0.000 0.500 0.500 x2
4 N 0.500 0.500 0.000 x1

---

The following is a DFT calculation (PBE) of a relaxed Tm2NbGeN5 crystal.

a b c (Å): 3.161 13.641 10.018
angles (deg): 90.00 90.00 90.00
Space group Cmc2_1 (No. 36)
Unique sites:
1 Tm 0.000 0.118 0.000 x4
2 Tm 0.000 0.128 0.565 x4
3 Nb 0.000 0.226 0.292 x4
4 Ge 0.000 0.490 0.763 x4
5 N 0.000 0.058 0.339 x4
6 N 0.000 0.287 0.934 x4
7 N 0.000 0.297 0.652 x4
8 N 0.000 0.372 0.300 x4
9 N 0.000 0.500 0.078 x4

---

The following is a DFT calculation (PBE) of a relaxed Nd6GeN4 crystal.

a b c (Å): 3.741 12.296 19.286
angles (deg): 90.00 90.00 90.00
Space group Cmcm (No. 63)
Unique sites:
1 Nd 0.000 0.000 0.000 x4
2 Nd 0.000 0.150 0.250 x4
3 Nd 0.000 0.278 0.578 x8
4 Nd 0.000 0.458 0.149 x8
5 Ge 0.000 0.165 0.750 x4
6 N 0.000 0.086 0.122 x8
7 N 0.000 0.361 0.040 x8

---

The following is a DFT calculation (PBE) of a relaxed Nd4GeN crystal.

a b c (Å): 6.009 9.871 6.035
angles (deg): 90.00 99.67 90.00
Space group P2_1/m (No. 11)
Unique sites:
1 Nd 0.147 0.250 0.243 x2
2 Nd 0.256 0.750 0.355 x2
3 Nd 0.277 0.045 0.775 x4
4 Ge 0.391 0.750 0.893 x2
5 N 0.127 0.250 0.624 x2

---

The following is a DFT calculation (PBE) of a relaxed Nd3GeN crystal.

a b c (Å): 4.901 4.941 10.811
angles (deg): 90.00 103.10 90.00
Space group P2_1/m (No. 11)
Unique sites:
1 Nd 0.059 0.250 0.117 x2
2 Nd 0.192 0.750 0.384 x2
3 Nd 0.425 0.250 0.850 x2
4 Ge 0.336 0.750 0.672 x2
5 N 0.070 0.750 0.140 x2

---

The following is a DFT calculation (PBE) of a relaxed Nd3GeN crystal.

a b c (Å): 3.828 12.662 9.856
angles (deg): 90.00 90.00 90.00
Space group Cmcm (No. 63)
Unique sites:
1 Nd 0.000 0.057 0.250 x4
2 Nd 0.000 0.372 0.052 x8
3 Ge 0.000 0.255 0.750 x4
4 N 0.000 0.000 0.000 x4

---

The following is a DFT calculation (PBE) of a relaxed Nd6GeN3 crystal.

a b c (Å): 11.816 3.606 12.018
angles (deg): 90.00 111.67 90.00
Space group P2_1/m (No. 11)
Unique sites:
1 Nd 0.056 0.250 0.359 x2
2 Nd 0.095 0.250 0.932 x2
3 Nd 0.222 0.750 0.219 x2
4 Nd 0.294 0.750 0.767 x2
5 Nd 0.359 0.250 0.505 x2
6 Nd 0.422 0.750 0.071 x2
7 Ge 0.465 0.250 0.299 x2
8 N 0.062 0.250 0.141 x2
9 N 0.207 0.750 0.411 x2
10 N 0.357 0.250 0.911 x2

---

The following is a DFT calculation (PBE) of a relaxed Nd7Ge2N2 crystal.

a b c (Å): 11.430 7.502 6.471
angles (deg): 90.00 95.35 90.00
Space group C2/m (No. 12)
Unique sites:
1 Nd 0.000 0.000 0.000 x2
2 Nd 0.065 0.500 0.772 x4
3 Nd 0.219 0.283 0.236 x8
4 Ge 0.000 0.169 0.500 x4
5 N 0.228 0.000 0.035 x4

---

The following is a DFT calculation (PBE) of a relaxed Nd6Ge3N crystal.

a b c (Å): 6.539 7.946 12.130
angles (deg): 90.00 121.87 90.00
Space group P2_1/c (No. 14)
Unique sites:
1 Nd 0.098 0.048 0.233 x4
2 Nd 0.200 0.708 0.061 x4
3 Nd 0.382 0.162 0.060 x4
4 Ge 0.313 0.108 0.747 x4
5 Ge 0.500 0.000 0.500 x2
6 N 0.000 0.000 0.000 x2

---

The following is a DFT calculation (PBE) of a relaxed Nd12Ge3N5 crystal.

a b c (Å): 15.908 15.908 15.908
angles (deg): 90.00 90.00 90.00
Space group Ia-3d (No. 230)
Unique sites:
1 Nd 0.033 0.054 0.649 x96
2 Ge 0.000 0.250 0.125 x24
3 N 0.000 0.000 0.000 x16
4 N 0.000 0.250 0.375 x24

---

The following is a DFT calculation (PBE) of a relaxed NdGeN crystal.

a b c (Å): 4.780 6.529 7.410
angles (deg): 90.00 90.00 90.00
Space group Cmc2_1 (No. 36)
Unique sites:
1 Nd 0.000 0.123 0.000 x4
2 Ge 0.000 0.481 0.266 x4
3 N 0.000 0.213 0.349 x4

---

The calculation returns the following energy relative to the elements, uncorrected values, one per record and in order: -0.8321, 0.2508, 0.9153, 0.0422, 0.7122, -1.0178, 0.2082, 0.8461, -1.0541, -1.1668, -0.5953, -0.8205, -0.8924, -0.8767, -0.5848, -0.7571, -0.8779, -0.4212 eV/atom.